Here is a geometry-optimized KHoAsO structure from OQMD. Energies are from PBE.

The structure in POSCAR format:
```
KHoAsO
1.0
5.7845 0.0000 0.0000
0.0000 5.7845 0.0000
0.0000 0.0000 5.1868
K Ho As O
2 2 2 2
direct
0.2500 0.2500 0.0036
0.7500 0.7500 0.9964
0.2500 0.7500 0.5000
0.7500 0.2500 0.5000
0.2500 0.2500 0.5040
0.7500 0.7500 0.4960
0.2500 0.7500 0.0000
0.7500 0.2500 0.0000
```

Summary:
The space group is P4/nmm, No. 129. The value obtained for the total DFT energy (no corrections) is -4.79 eV/atom. The value obtained for the energy above the most stable polymorph in this dataset is 2.53 eV/f.u.